# CoMoSe2

An optimized crystal structure of CoMoSe2 (PBE, Alexandria).

Results
Energy   -0.2250 Ha/atom
Space group   No. 123
Density   8.6 g cm⁻³
Density of states at the Fermi level   3.66 states/eV/f.u.

Unit cell a=3.135 b=3.135 c=6.167 alpha=90.00 beta=90.00 gamma=90.00
Positions (direct):
Se1 0.000 0.000 0.999
Se2 0.000 0.000 0.501
Mo1 0.500 0.500 0.750
Co1 0.500 0.500 0.250


# Sc3Ag3PtO8

An optimized crystal structure of Sc3Ag3PtO8 (PBE, Alexandria).

Results
Energy   -0.2459 Ha/atom
Space group   No. 12
Density   6.3 g cm⁻³

Unit cell a=6.333 b=6.332 c=6.961 alpha=117.30 beta=90.00 gamma=120.01
Positions (direct):
O1 0.276 0.553 0.331
O2 0.724 0.447 0.669
O3 0.222 0.444 0.685
O4 0.778 0.035 0.314
O5 0.778 0.556 0.315
O6 0.222 0.965 0.686
O7 0.743 0.965 0.686
O8 0.257 0.035 0.314
Sc1 0.500 0.500 0.500
Sc2 0.500 0.000 0.500
Sc3 0.000 0.500 0.500
Ag1 0.000 0.500 0.000
Ag2 0.500 0.500 0.000
Ag3 0.000 0.000 0.000
Pt1 0.000 0.000 0.500